1.
La3Nd3Y5 PBE optimized geometry; space-group type = P-62m, No. 189; energy of formation from the pure elements = 0.728 eV per atom; Fermi-level density of states = 1.544 states/eV/atom; M_tot = 0.00 μB/atom; total energy = -0.357 Ry/atom
1.0
9.7367 0.0000 0.0000
-4.8683 8.4322 0.0000
0.0000 0.0000 5.4174
La Nd Y
3 3 5
Cartesian
-3.1064 5.3805 0.0000 La
1.7619 3.0517 0.0000 La
6.2129 0.0000 0.0000 La
-2.3893 4.1384 2.7087 Nd
4.7786 0.0000 2.7087 Nd
2.4790 4.2938 2.7087 Nd
-1.3133 2.2747 0.0000 Y
2.6266 0.0000 0.0000 Y
0.0000 5.6215 0.0000 Y
4.8683 2.8107 0.0000 Y
3.5551 6.1575 0.0000 Y

***

2.
La4Nd5Y PBE optimized geometry; space-group type = P4/nmm, No. 129; energy of formation from the pure elements = 0.150 eV per atom; Fermi-level density of states = 1.264 states/eV/atom; M_tot = 0.00 μB/atom; total energy = -0.357 Ry/atom
1.0
10.8006 0.0000 0.0000
0.0000 10.8006 0.0000
0.0000 0.0000 6.0427
La Nd Y
8 10 2
Cartesian
0.5423 8.1005 0.7760 La
2.7002 5.9426 5.2667 La
2.7002 10.2583 5.2667 La
4.8580 8.1005 0.7760 La
5.9426 2.7002 5.2667 La
8.1005 0.5423 0.7760 La
8.1005 4.8580 0.7760 La
10.2583 2.7002 5.2667 La
0.9802 0.9802 2.0942 Nd
0.9802 4.4201 2.0942 Nd
2.7002 8.1005 3.0213 Nd
4.4201 0.9802 2.0942 Nd
4.4201 4.4201 2.0942 Nd
6.3805 6.3805 3.9485 Nd
6.3805 9.8204 3.9485 Nd
8.1005 2.7002 3.0213 Nd
9.8204 6.3805 3.9485 Nd
9.8204 9.8204 3.9485 Nd
2.7002 2.7002 5.0893 Y
8.1005 8.1005 0.9534 Y

***

3.
LaNdY2 PBE optimized geometry; ΔE to the lowest computed polymorph = 0.014 eV/atom; space-group type = R3m, No. 160; energy of formation from the pure elements = 0.023 eV per atom; Fermi-level density of states = 1.518 states/eV/atom; M_tot = 0.00 μB/atom; total energy = -0.414 Ry/atom
1.0
1.8255 1.0539 11.8463
-1.8255 1.0539 11.8463
0.0000 -2.1079 11.8463
La Nd Y
1 1 2
Cartesian
0.0000 0.0000 0.0000 La
0.0000 0.0000 29.6367 Nd
0.0000 0.0000 8.8507 Y
0.0000 0.0000 14.8755 Y

***

4.
La2Nd3Y7 PBE optimized geometry; space-group type = P2/m, No. 10; energy of formation from the pure elements = 0.085 eV per atom; Fermi-level density of states = 1.642 states/eV/atom; M_tot = 0.00 μB/atom; total energy = -0.419 Ry/atom
1.0
6.4556 0.0000 0.0000
0.0000 3.5680 0.0000
-1.9048 0.0000 17.7171
La Nd Y
2 3 7
Cartesian
0.0026 0.0000 3.0679 La
4.5483 0.0000 14.6492 La
1.3568 1.7840 14.8931 Nd
2.2754 0.0000 8.8586 Nd
3.1941 1.7840 2.8240 Nd
-0.9524 1.7840 8.8586 Y
0.1996 0.0000 11.7733 Y
1.6480 0.0000 0.0138 Y
1.1237 1.7840 5.9786 Y
3.4272 1.7840 11.7385 Y
2.9028 0.0000 17.7033 Y
4.3512 0.0000 5.9438 Y

***

5.
LaNd8Y4 PBE optimized geometry; space-group type = R-3m, No. 166; energy of formation from the pure elements = 0.158 eV per atom; Fermi-level density of states = 1.384 states/eV/atom; M_tot = 0.00 μB/atom; total energy = -0.378 Ry/atom
1.0
3.7310 2.1541 9.3849
-3.7310 2.1541 9.3849
0.0000 -4.3082 9.3849
La Nd Y
1 8 4
Cartesian
0.0000 0.0000 0.0000 La
0.0000 -1.9405 11.2553 Nd
-1.6805 0.9703 11.2553 Nd
0.0000 0.0000 7.9311 Nd
-1.6805 -0.9703 16.8994 Nd
1.6805 0.9703 11.2553 Nd
0.0000 0.0000 20.2235 Nd
1.6805 -0.9703 16.8994 Nd
0.0000 1.9405 16.8994 Nd
-3.7310 0.0000 14.0773 Y
-1.8655 1.0771 4.6924 Y
1.8655 1.0771 4.6924 Y
0.0000 0.0000 14.0773 Y

***

6.
La2Nd2Y3 PBE optimized geometry; ΔE to the lowest computed polymorph = 0.000 eV/atom; space-group type = C2/m, No. 12; energy of formation from the pure elements = 0.025 eV per atom; Fermi-level density of states = 1.726 states/eV/atom; M_tot = 0.00 μB/atom; total energy = -0.405 Ry/atom
1.0
5.7787 -2.5810 0.0000
5.7787 2.5810 0.0000
-1.1237 0.0000 8.1065
La Nd Y
2 2 3
Cartesian
0.5626 0.0000 1.7358 La
9.8712 0.0000 6.3707 La
1.7549 0.0000 5.2127 Nd
8.6789 0.0000 2.8938 Nd
4.0309 0.0000 0.5758 Y
5.2169 0.0000 4.0532 Y
6.4028 0.0000 7.5307 Y

***

7.
La3Nd4Y2 PBE optimized geometry; ΔE to the lowest computed polymorph = 0.000 eV/atom; space-group type = C2/m, No. 12; energy of formation from the pure elements = 0.017 eV per atom; Fermi-level density of states = 1.557 states/eV/atom; M_tot = 0.00 μB/atom; total energy = -0.381 Ry/atom
1.0
8.0393 -1.8427 0.0000
8.0393 1.8427 0.0000
-2.6291 0.0000 10.6862
La Nd Y
3 4 2
Cartesian
0.0000 0.0000 0.0000 La
4.1821 0.0000 4.7625 La
9.2673 0.0000 5.9237 La
15.2025 0.0000 3.5372 Nd
-1.7530 0.0000 7.1490 Nd
5.0595 0.0000 1.1772 Nd
8.3899 0.0000 9.5090 Nd
3.3060 0.0000 8.3163 Y
10.1434 0.0000 2.3699 Y

***

8.
La4Nd5Y4 PBE optimized geometry; space-group type = P-1, No. 2; energy of formation from the pure elements = 0.019 eV per atom; Fermi-level density of states = 1.655 states/eV/atom; M_tot = 0.00 μB/atom; total energy = -0.391 Ry/atom
1.0
5.2007 0.0000 0.0000
2.5908 9.3450 0.0000
2.5926 -0.0066 9.3487
La Nd Y
4 5 4
Cartesian
1.2957 2.8723 0.3662 La
3.8973 5.0384 1.8016 La
6.4869 4.3000 7.5472 La
9.0884 6.4662 8.9826 La
1.2963 -0.0033 4.6744 Nd
3.8943 2.1517 6.0698 Nd
6.4877 7.9441 6.8325 Nd
3.8964 1.3944 2.5163 Nd
6.4898 7.1867 3.2789 Nd
3.8888 5.7497 5.3960 Y
3.8903 8.6241 1.0819 Y
6.4938 0.7144 8.2669 Y
6.4954 3.5888 3.9528 Y

***

9.
LaNdY2 PBE optimized geometry; ΔE to the lowest computed polymorph = 0.014 eV/atom; space-group type = P4/mmm, No. 123; energy of formation from the pure elements = 0.022 eV per atom; Fermi-level density of states = 1.665 states/eV/atom; M_tot = 0.00 μB/atom; total energy = -0.414 Ry/atom
1.0
5.1940 0.0000 0.0000
0.0000 5.1940 0.0000
0.0000 0.0000 5.0651
La Nd Y
1 1 2
Cartesian
0.0000 0.0000 0.0000 La
2.5970 2.5970 0.0000 Nd
0.0000 2.5970 2.5326 Y
2.5970 0.0000 2.5326 Y

***

10.
La3Nd4Y5 PBE optimized geometry; ΔE to the lowest computed polymorph = 0.000 eV/atom; space-group type = P-1, No. 2; energy of formation from the pure elements = 0.017 eV per atom; Fermi-level density of states = 1.477 states/eV/atom; M_tot = 0.00 μB/atom; total energy = -0.404 Ry/atom
1.0
6.3215 0.0000 0.0000
0.0055 7.2973 0.0000
0.0097 0.0221 8.9599
La Nd Y
3 4 5
Cartesian
0.0000 0.0000 0.0000 La
1.0625 1.8390 2.9699 La
5.2742 5.4805 5.9901 La
1.0770 5.4812 2.9767 Nd
2.1021 3.6593 5.9827 Nd
4.2346 3.6602 2.9772 Nd
5.2597 1.8383 5.9833 Nd
0.0028 3.6487 0.0000 Y
2.1196 0.0156 5.9916 Y
3.1531 5.4710 0.0044 Y
3.1835 1.8485 8.9555 Y
4.2171 7.3039 2.9683 Y

***

11.
La5Nd12Y2 PBE optimized geometry; ΔE to the lowest computed polymorph = 0.059 eV/atom; space-group type = C2/m, No. 12; energy of formation from the pure elements = 0.159 eV per atom; Fermi-level density of states = 1.744 states/eV/atom; M_tot = 0.00 μB/atom; total energy = -0.355 Ry/atom
1.0
9.4704 -3.6336 0.0000
9.4704 3.6336 0.0000
-3.8227 0.0000 9.9267
La Nd Y
5 12 2
Cartesian
0.0000 0.0000 0.0000 La
0.8830 0.0000 6.8300 La
5.0600 0.0000 2.8500 La
10.0582 0.0000 7.0767 La
14.2352 0.0000 3.0967 La
-2.3718 0.0000 7.3806 Nd
2.5921 1.7996 9.6892 Nd
4.0468 1.8345 6.2570 Nd
11.0713 1.8345 3.6697 Nd
12.5261 1.7996 0.2375 Nd
8.7799 0.0000 1.7625 Nd
6.3382 0.0000 8.1642 Nd
2.5921 -1.7996 9.6892 Nd
4.0468 -1.8345 6.2570 Nd
11.0713 -1.8345 3.6697 Nd
12.5261 -1.7996 0.2375 Nd
17.4900 0.0000 2.5461 Nd
7.5591 1.6140 4.9633 Y
7.5591 -1.6140 4.9633 Y

***

12.
LaNd4Y3 PBE optimized geometry; ΔE to the lowest computed polymorph = 0.003 eV/atom; space-group type = Pmn2_1, No. 31; energy of formation from the pure elements = 0.026 eV per atom; Fermi-level density of states = 1.781 states/eV/atom; M_tot = 0.00 μB/atom; total energy = -0.397 Ry/atom
1.0
11.7400 0.0000 0.0000
0.0000 7.4047 0.0000
0.0000 0.0000 6.3929
La Nd Y
2 8 6
Cartesian
0.0000 0.9482 0.0000 La
5.8700 6.4564 3.1965 La
0.0000 2.7740 3.2727 Nd
0.0000 4.6505 0.0192 Nd
2.8930 4.6236 2.1625 Nd
2.9769 2.7811 5.3590 Nd
5.8700 2.7542 3.2157 Nd
5.8700 4.6307 0.0762 Nd
8.7630 2.7811 5.3590 Nd
8.8469 4.6236 2.1625 Nd
0.0000 6.4842 3.2199 Y
2.9282 0.9101 2.1639 Y
2.9417 6.4946 5.3603 Y
5.8700 0.9204 0.0234 Y
8.7982 6.4946 5.3603 Y
8.8117 0.9101 2.1639 Y